{"formula": "SrMg2MnOs", "functional": "GGA-PBE", "state": "optimized geometry", "e_form_ev_per_atom": 1.4396, "density_g_cm3": 4.750, "final_energy_ev_per_atom": -3.614, "dos_ef_per_ev_cell": 5.4, "lattice": [[-3.0352, 0.5379, -3.8854], [2.5468, -4.0490, -2.5501], [-3.1553, -3.2534, 2.0144]], "species": ["Mn", "Os", "Mg", "Mg", "Sr"], "fractional_positions": [[0.0000, 0.0000, 0.0000], [0.5000, 0.5000, 0.5000], [0.5000, 0.0000, 0.0000], [0.0000, 0.0000, 0.5000], [0.0000, 0.5000, 0.0000]]}

***

{"formula": "AuNO", "functional": "GGA-PBE", "state": "optimized geometry", "e_form_raw_mev_per_atom": 209, "density_g_cm3": 5.566, "final_energy_ev_per_atom": -5.311, "dos_ef_per_ev_cell": 3.4, "lattice": [[-2.9331, -2.5209, -1.7931], [4.7793, -2.7209, -3.9926], [2.9711, -7.2833, 5.3796]], "species": ["N", "N", "N", "N", "O", "O", "O", "O", "Au", "Au", "Au", "Au"], "fractional_positions": [[0.5179, 0.0540, 0.0364], [0.9821, 0.5540, 0.0364], [0.4821, 0.9460, 0.9636], [0.0179, 0.4460, 0.9636], [0.0136, 0.8526, 0.3771], [0.9864, 0.1474, 0.6229], [0.4864, 0.3526, 0.3771], [0.5136, 0.6474, 0.6229], [0.7525, 0.4039, 0.6011], [0.7475, 0.9039, 0.6011], [0.2475, 0.5961, 0.3989], [0.2525, 0.0961, 0.3989]]}

***

{"formula": "CaLuHg", "functional": "GGA-PBE", "state": "optimized geometry", "polymorph_energy_ev_per_atom": 0.0000, "e_form_ev_per_atom": -0.2853, "density_g_cm3": 7.837, "final_energy_ev_per_atom": -2.560, "dos_ef_per_ev_cell": 2.3, "lattice": [[3.6965, 0.0000, 0.0000], [0.0000, 3.6965, 0.0000], [-1.8483, -1.8483, 6.4450]], "species": ["Ca", "Lu", "Hg"], "fractional_positions": [[0.0185, 0.0185, 0.0371], [0.3030, 0.3030, 0.6061], [0.6784, 0.6784, 0.3569]]}

***

{"formula": "Eu2GeN", "functional": "GGA-PBE", "state": "optimized geometry", "e_form_raw_mev_per_atom": -410, "density_g_cm3": 6.616, "final_energy_ev_per_atom": -8.783, "dos_ef_per_ev_cell": 5.2, "lattice": [[-2.1177, 2.4068, -1.5314], [-3.2714, -0.9171, -1.0388], [-4.9997, 2.8020, 7.1962]], "species": ["Eu", "Eu", "N", "Ge"], "fractional_positions": [[0.8851, 0.8851, 0.3447], [0.1149, 0.1149, 0.6553], [0.5000, 0.5000, 0.5000], [0.0000, 0.0000, 0.0000]]}

***

{"formula": "GeOsPbO6", "functional": "GGA-PBE", "state": "optimized geometry", "e_form_raw_mev_per_atom": -1117, "density_g_cm3": 7.368, "final_energy_ev_per_atom": -6.595, "dos_ef_per_ev_cell": 8.1, "lattice": [[6.8864, 0.0000, 0.0000], [0.0000, 7.1740, 0.0000], [-3.4432, -3.5870, 5.1644]], "species": ["Os", "Os", "Pb", "Pb", "Ge", "Ge", "O", "O", "O", "O", "O", "O", "O", "O", "O", "O", "O", "O"], "fractional_positions": [[0.5000, 0.5000, 0.0000], [0.5000, 0.0000, 0.0000], [0.0251, 0.2751, 0.0502], [0.9749, 0.7249, 0.9498], [0.0000, 0.0000, 0.5000], [0.5000, 0.0000, 0.5000], [0.8265, 0.0506, 0.2311], [0.5954, 0.3195, 0.7689], [0.8265, 0.6805, 0.2311], [0.5657, 0.3157, 0.1314], [0.1946, 0.9446, 0.3892], [0.4046, 0.0506, 0.2311], [0.4046, 0.6805, 0.2311], [0.5954, 0.9494, 0.7689], [0.1735, 0.3195, 0.7689], [0.4343, 0.6843, 0.8686], [0.1735, 0.9494, 0.7689], [0.8054, 0.0554, 0.6108]]}

***

{"formula": "NbVGaMo", "functional": "GGA-PBE", "state": "optimized geometry", "e_form_ev_per_atom": -0.0543, "density_g_cm3": 8.180, "final_energy_ev_per_atom": -8.316, "dos_ef_per_ev_cell": 2.7, "lattice": [[-0.1868, 2.9668, -3.3280], [-1.8670, -1.1284, -3.8927], [-3.9181, 1.7719, -1.1920]], "species": ["Mo", "Nb", "V", "Ga"], "fractional_positions": [[0.5000, 0.5000, 0.5000], [0.2500, 0.2500, 0.2500], [0.0000, 0.0000, 0.0000], [0.7500, 0.7500, 0.7500]]}